{"formula": "Ho4ThPd5", "functional": "PBE", "state": "relaxed", "lattice": [[3.477, 0.000, 0.000], [0.000, 3.477, 0.000], [0.000, 0.000, 18.018]], "species": ["Ho", "Ho", "Ho", "Ho", "Th", "Pd", "Pd", "Pd", "Pd", "Pd"], "frac_coords": [[0.000, 0.000, 0.206], [0.000, 0.000, 0.402], [0.000, 0.000, 0.598], [0.000, 0.000, 0.794], [0.000, 0.000, 0.000], [0.500, 0.500, 0.112], [0.500, 0.500, 0.304], [0.500, 0.500, 0.500], [0.500, 0.500, 0.696], [0.500, 0.500, 0.888]], "e_form_mev_per_atom": -844, "dos_ef_per_ev_atom": 0.8224, "density_g_cm3": 10.9, "e_tot_ev_per_atom": -6.014, "total_magnetization_mub_per_fu": 0.00}